i | Crystalline Pr2DyEr8 at its relaxed geometry, computed with PBE.

Summary:
Spin magnetization = 0.0 μB per formula unit
Fermi-level density of states = 1.3034 states/eV per atom

Cell lengths 9.1691, 9.1691, 5.8765 Å; angles 105.52, 105.52, 121.03 degrees
Closest atoms and distances in Å follow each position.
Sites, in units of the cell vectors:
1 Pr 0.1937 0.8063 0.0000  8 Er 3.33-3.48
2 Pr 0.8063 0.1937 0.0000  8 Er 3.33-3.48
3 Dy 0.5000 0.5000 0.5000  4 Er 3.31-3.37
4 Er 0.0715 0.0715 0.2972  4 Er 2.99-3.27
5 Er 0.1712 0.4018 0.8279  3 Er 3.21-3.43, 2 Pr 3.45-3.48
6 Er 0.2924 0.7076 0.5000  1 Dy 3.31, 2 Pr 3.33, 6 Er 3.60-3.69
7 Er 0.4018 0.1712 0.8279  3 Er 3.21-3.43, 2 Pr 3.45-3.48
8 Er 0.5982 0.8288 0.1721  3 Er 3.21-3.43, 2 Pr 3.45-3.48
9 Er 0.7076 0.2924 0.5000  1 Dy 3.31, 2 Pr 3.33, 6 Er 3.60-3.69
10 Er 0.8288 0.5982 0.1721  3 Er 3.21-3.43, 2 Pr 3.45-3.48
11 Er 0.9285 0.9285 0.7028  4 Er 2.99-3.27



ii | Crystalline Pr2DyEr8 at its relaxed geometry, computed with PBE.

Summary:
Spin magnetization = 0.0 μB per formula unit
Fermi-level density of states = 1.4997 states/eV per atom

Cell lengths 8.8746, 8.8746, 6.6517 Å; angles 99.52, 99.52, 43.58 degrees
Closest atoms and distances in Å follow each position.
Sites, in units of the cell vectors:
1 Pr 0.2453 0.2453 0.3113  9 Er 3.28-3.54
2 Pr 0.7547 0.7547 0.6887  9 Er 3.28-3.54
3 Dy 0.0000 0.0000 0.0000  4 Er 3.27
4 Er 0.1749 0.6537 0.6001  4 Er 3.15-3.43, 1 Dy 3.27, 2 Pr 3.28-3.47
5 Er 0.1985 0.1985 0.8024  4 Pr 3.33-3.54, 3 Er 3.43-3.69
6 Er 0.3463 0.8251 0.3999  4 Er 3.15-3.43, 1 Dy 3.27, 2 Pr 3.28-3.47
7 Er 0.4114 0.4114 0.0934  1 Pr 3.32, 8 Er 3.37-3.71, 2 Dy 3.70
8 Er 0.5886 0.5886 0.9066  1 Pr 3.32, 8 Er 3.37-3.71, 2 Dy 3.70
9 Er 0.6537 0.1749 0.6001  4 Er 3.15-3.43, 1 Dy 3.27, 2 Pr 3.28-3.47
10 Er 0.8015 0.8015 0.1976  4 Pr 3.33-3.54, 3 Er 3.43-3.69
11 Er 0.8251 0.3463 0.3999  4 Er 3.15-3.43, 1 Dy 3.27, 2 Pr 3.28-3.47



Relative to the most stable one, in kJ/mol of atoms, the structures come out at i 0.0; ii 1.4.



i | Crystalline Pr4Dy5Er2 at its relaxed geometry, computed with PBE.

Summary:
Spin magnetization = 0.0 μB per formula unit
Fermi-level density of states = 1.4404 states/eV per atom

Cell lengths 12.5481, 12.5481, 12.5481 Å; angles 163.92, 136.40, 46.76 degrees
Closest atoms and distances in Å follow each position.
Sites, in units of the cell vectors:
1 Pr 0.0964 0.0964 0.0000  1 Er 3.08, 4 Pr 3.43
2 Pr 0.2073 0.5000 0.7073  4 Dy 3.24-3.55, 6 Pr 3.43-3.51
3 Pr 0.7927 0.5000 0.2927  4 Dy 3.24-3.55, 6 Pr 3.43-3.51
4 Pr 0.9036 0.9036 0.0000  1 Er 3.08, 4 Pr 3.43
5 Dy 0.1495 0.3504 0.7992  1 Er 3.34, 3 Dy 3.51-3.74, 3 Pr 3.52-3.55
6 Dy 0.4488 0.6496 0.7992  1 Er 3.34, 3 Dy 3.51-3.74, 3 Pr 3.52-3.55
7 Dy 0.5000 0.0000 0.5000  4 Pr 3.24, 2 Dy 3.51
8 Dy 0.5512 0.3504 0.2008  1 Er 3.34, 3 Dy 3.51-3.74, 3 Pr 3.52-3.55
9 Dy 0.8505 0.6496 0.2008  1 Er 3.34, 3 Dy 3.51-3.74, 3 Pr 3.52-3.55
10 Er 0.2301 0.2301 0.0000  1 Pr 3.08, 2 Dy 3.34
11 Er 0.7699 0.7699 0.0000  1 Pr 3.08, 2 Dy 3.34



ii | Crystalline Pr4Dy5Er2 at its relaxed geometry, computed with PBE.

Summary:
Spin magnetization = 0.0 μB per formula unit
Fermi-level density of states = 1.3837 states/eV per atom

Cell lengths 10.0220, 10.0220, 6.6774 Å; angles 90.78, 90.78, 32.92 degrees
Closest atoms and distances in Å follow each position.
Sites, in units of the cell vectors:
1 Pr 0.0196 0.0196 0.2882  1 Pr 2.94, 1 Dy 3.10
2 Pr 0.3067 0.3067 0.9299  6 Dy 3.31-3.70
3 Pr 0.6933 0.6933 0.0701  6 Dy 3.31-3.70
4 Pr 0.9804 0.9804 0.7118  1 Pr 2.94, 1 Dy 3.10
5 Dy 0.1303 0.1303 0.8890  5 Pr 3.10-3.43
6 Dy 0.2088 0.2088 0.4025  4 Dy 3.49-3.73, 4 Pr 3.61-3.71, 3 Er 3.71-3.73
7 Dy 0.5000 0.5000 0.0000  6 Pr 3.45-3.74, 2 Er 3.54
8 Dy 0.7912 0.7912 0.5975  4 Dy 3.49-3.73, 4 Pr 3.61-3.71, 3 Er 3.71-3.73
9 Dy 0.8697 0.8697 0.1110  5 Pr 3.10-3.43
10 Er 0.4025 0.4025 0.4456  6 Dy 3.54-3.73, 6 Pr 3.66-3.88, 1 Er 3.81
11 Er 0.5975 0.5975 0.5544  6 Dy 3.54-3.73, 6 Pr 3.66-3.88, 1 Er 3.81



Relative to the most stable one, in kJ/mol of atoms, the structures come out at i 17.4; ii 0.0.



i | Crystalline Pr2Dy3Er2 at its relaxed geometry, computed with PBE.

Summary:
Spin magnetization = 0.0 μB per formula unit
Fermi-level density of states = 1.6768 states/eV per atom

Cell lengths 7.7990, 11.0391, 5.4825 Å; angles 90.00, 90.00, 90.00 degrees
Closest atoms and distances in Å follow each position.
Sites, in units of the cell vectors:
1 Pr 0.1938 0.1912 0.0000  3 Er 3.24-3.27, 3 Dy 3.37-3.58
2 Pr 0.3062 0.6912 0.5000  3 Er 3.24-3.27, 3 Dy 3.37-3.58
3 Pr 0.6938 0.3088 0.5000  3 Er 3.24-3.27, 3 Dy 3.37-3.58
4 Pr 0.8062 0.8088 0.0000  3 Er 3.24-3.27, 3 Dy 3.37-3.58
5 Dy 0.0000 0.0000 0.5000  2 Er 3.22
6 Dy 0.1796 0.3997 0.5000  3 Pr 3.37-3.58, 1 Dy 3.57, 5 Er 3.57-3.62
7 Dy 0.3204 0.8997 0.0000  3 Pr 3.37-3.58, 1 Dy 3.57, 5 Er 3.57-3.62
8 Dy 0.5000 0.5000 0.0000  2 Er 3.22
9 Dy 0.6796 0.1003 0.0000  3 Pr 3.37-3.58, 1 Dy 3.57, 5 Er 3.57-3.62
10 Dy 0.8204 0.6003 0.5000  3 Pr 3.37-3.58, 1 Dy 3.57, 5 Er 3.57-3.62
11 Er 0.1168 0.6096 0.0000  1 Er 3.03, 1 Dy 3.22, 3 Pr 3.24-3.27
12 Er 0.3832 0.1096 0.5000  1 Er 3.03, 1 Dy 3.22, 3 Pr 3.24-3.27
13 Er 0.6168 0.8904 0.5000  1 Er 3.03, 1 Dy 3.22, 3 Pr 3.24-3.27
14 Er 0.8832 0.3904 0.0000  1 Er 3.03, 1 Dy 3.22, 3 Pr 3.24-3.27



ii | Crystalline Pr2Dy3Er2 at its relaxed geometry, computed with PBE.

Summary:
Spin magnetization = 0.0 μB per formula unit
Fermi-level density of states = 1.5210 states/eV per atom

Cell lengths 8.9637, 8.9637, 8.5624 Å; angles 118.34, 118.34, 22.62 degrees
Closest atoms and distances in Å follow each position.
Sites, in units of the cell vectors:
1 Pr 0.0672 0.0672 0.2204  3 Pr 3.35-3.52, 5 Dy 3.45-3.61, 2 Er 3.63
2 Pr 0.9328 0.9328 0.7796  3 Pr 3.35-3.52, 5 Dy 3.45-3.61, 2 Er 3.63
3 Dy 0.2885 0.2885 0.3745  5 Dy 3.33-3.52, 3 Pr 3.45-3.61, 3 Er 3.55-3.61
4 Dy 0.5000 0.5000 0.5000  4 Dy 3.33-3.52, 2 Er 3.56, 4 Pr 3.60
5 Dy 0.7115 0.7115 0.6255  5 Dy 3.33-3.52, 3 Pr 3.45-3.61, 3 Er 3.55-3.61
6 Er 0.3488 0.3488 0.0345  4 Er 3.52-3.68, 4 Dy 3.55-3.61, 4 Pr 3.63-3.80
7 Er 0.6512 0.6512 0.9655  4 Er 3.52-3.68, 4 Dy 3.55-3.61, 4 Pr 3.63-3.80



Relative to the most stable one, in kJ/mol of atoms, the structures come out at i 8.1; ii 0.0.



i | Crystalline PrDy7Er4 at its relaxed geometry, computed with PBE.

Summary:
Spin magnetization = 0.0 μB per formula unit
Fermi-level density of states = 1.3510 states/eV per atom

Cell lengths 6.1877, 7.1525, 8.8045 Å; angles 89.96, 76.27, 89.92 degrees
Closest atoms and distances in Å follow each position.
Sites, in units of the cell vectors:
1 Pr 0.0000 0.0000 0.0000  10 Dy 3.54-3.58, 2 Er 3.54
2 Dy 0.0000 0.5000 0.0000  4 Er 3.53, 6 Dy 3.53-3.57, 2 Pr 3.58
3 Dy 0.2223 0.0004 0.3350  6 Dy 3.50-3.59, 5 Er 3.50-3.59, 1 Pr 3.54
4 Dy 0.2795 0.7479 0.6642  6 Er 3.48-3.60, 5 Dy 3.50-3.59, 1 Pr 3.54
5 Dy 0.4998 0.2518 0.9998  3 Er 3.52-3.53, 7 Dy 3.53-3.60, 2 Pr 3.58
6 Dy 0.5002 0.7482 0.0002  3 Er 3.52-3.53, 7 Dy 3.53-3.60, 2 Pr 3.58
7 Dy 0.7205 0.2521 0.3358  6 Er 3.48-3.60, 5 Dy 3.50-3.59, 1 Pr 3.54
8 Dy 0.7777 0.9996 0.6650  6 Dy 3.50-3.59, 5 Er 3.50-3.59, 1 Pr 3.54
9 Er 0.2205 0.5002 0.3350  4 Er 3.48-3.57, 8 Dy 3.49-3.58
10 Er 0.2791 0.2516 0.6646  8 Dy 3.48-3.60, 3 Er 3.49-3.57, 1 Pr 3.54
11 Er 0.7209 0.7484 0.3354  8 Dy 3.48-3.60, 3 Er 3.49-3.57, 1 Pr 3.54
12 Er 0.7795 0.4998 0.6650  4 Er 3.48-3.57, 8 Dy 3.49-3.58



ii | Crystalline PrDy7Er4 at its relaxed geometry, computed with PBE.

Summary:
Spin magnetization = 0.0 μB per formula unit
Fermi-level density of states = 1.6681 states/eV per atom

Cell lengths 6.6907, 6.6907, 12.5685 Å; angles 114.93, 114.93, 51.97 degrees
Closest atoms and distances in Å follow each position.
Sites, in units of the cell vectors:
1 Pr 0.0000 0.0000 0.0000  4 Dy 2.93-3.12
2 Dy 0.0585 0.0585 0.3311  4 Dy 3.29-3.51, 3 Er 3.57-3.64
3 Dy 0.2106 0.2106 0.9217  1 Pr 3.12, 4 Dy 3.14-3.41, 4 Er 3.24-3.37
4 Dy 0.3661 0.3661 0.4959  4 Dy 3.17-3.51, 3 Er 3.25-3.46
5 Dy 0.5000 0.5000 0.0000  2 Pr 2.93, 2 Dy 3.14
6 Dy 0.6339 0.6339 0.5041  4 Dy 3.17-3.51, 3 Er 3.25-3.46
7 Dy 0.7894 0.7894 0.0783  1 Pr 3.12, 4 Dy 3.14-3.41, 4 Er 3.24-3.37
8 Dy 0.9415 0.9415 0.6689  4 Dy 3.29-3.51, 3 Er 3.57-3.64
9 Er 0.2516 0.2516 0.6843  4 Dy 3.24-3.57
10 Er 0.3683 0.3683 0.2256  7 Dy 3.36-3.57, 2 Er 3.67
11 Er 0.6317 0.6317 0.7744  7 Dy 3.36-3.57, 2 Er 3.67
12 Er 0.7484 0.7484 0.3157  4 Dy 3.24-3.57



Relative to the most stable one, in kJ/mol of atoms, the structures come out at i 0.0; ii 26.9.